Entry from Alexandria via LeMat-Bulk: BePRu2 after structural relaxation (GGA-PBEsol).

Properties
* excess energy over the best structure of this formula in the dataset: 5.2 kJ per mole of atoms
* calculated formation energy: -0.458 eV/atom

a = 2.9392 Å, b = 3.7697 Å, c = 4.3338 Å
α = 90.00°, β = 107.49°, γ = 90.00°
Space group Pm (No. 6)
Symmetry-distinct sites (fractional):
Be 0.0000 0.0000 0.0000
P 0.1649 0.5000 0.3433
Ru 0.4712 0.5000 0.9077
Ru 0.6917 0.0000 0.4482

Entry from Alexandria via LeMat-Bulk: BaLa2Cd after structural relaxation (GGA-PBEsol).

Properties
* excess energy over the best structure of this formula in the dataset: 2.1 kJ per mole of atoms
* calculated formation energy: -0.077 eV/atom

a = 3.8912 Å, b = 5.8705 Å, c = 12.2762 Å
α = 90.00°, β = 90.00°, γ = 90.00°
Space group Immm (No. 71)
Symmetry-distinct sites (fractional):
Ba 0.0000 0.0000 0.0000
La 0.0000 0.5000 0.2183
Cd 0.0000 0.0000 0.5000

Entry from Alexandria via LeMat-Bulk: BaSrOs2 after structural relaxation (GGA-PBEsol).

Properties
* excess energy over the best structure of this formula in the dataset: 66.2 kJ per mole of atoms
* calculated formation energy: 1.350 eV/atom

a = 5.9588 Å, b = 10.0576 Å, c = 3.0207 Å
α = 90.00°, β = 112.36°, γ = 90.00°
Space group C2/m (No. 12)
Symmetry-distinct sites (fractional):
Ba 0.0000 0.0000 0.0000
Sr 0.0000 0.5000 0.0000
Os 0.2500 0.2500 0.5000

Entry from Alexandria via LeMat-Bulk: HfNbP2O after structural relaxation (GGA-PBEsol).

Properties
* excess energy over the best structure of this formula in the dataset: 24.8 kJ per mole of atoms

a = 4.9447 Å, b = 4.9447 Å, c = 3.8072 Å
α = 90.00°, β = 90.00°, γ = 90.00°
Space group P4/mmm (No. 123)
Symmetry-distinct sites (fractional):
Hf 0.0000 0.0000 0.0000
Nb 0.5000 0.5000 0.5000
P 0.0000 0.5000 0.0000
O 0.0000 0.0000 0.5000

Entry from Alexandria via LeMat-Bulk: Sr7CaTi8O24 after structural relaxation (GGA-PBEsol).

Properties
* E: -8.38 eV per atom

a = 7.7839 Å, b = 7.7839 Å, c = 7.7839 Å
α = 90.00°, β = 90.00°, γ = 90.00°
Space group Pm-3m (No. 221)
Symmetry-distinct sites (fractional):
Sr 0.0000 0.0000 0.0000
Sr 0.0000 0.0000 0.5000
Sr 0.0000 0.5000 0.5000
Ca 0.5000 0.5000 0.5000
Ti 0.2507 0.2507 0.2507
O 0.0000 0.2507 0.2507
O 0.2518 0.2518 0.5000

Entry from Alexandria via LeMat-Bulk: ScRh2Pb after structural relaxation (GGA-PBEsol).

Properties
* calculated formation energy: -0.566 eV/atom

a = 4.3160 Å, b = 4.3160 Å, c = 3.6142 Å
α = 90.00°, β = 90.00°, γ = 90.00°
Space group P4/mmm (No. 123)
Symmetry-distinct sites (fractional):
Sc 0.0000 0.0000 0.0000
Rh 0.0000 0.5000 0.5000
Pb 0.5000 0.5000 0.0000